# 1
VASP calculation (PBE-GGA) on a relaxed NpSbIr4 crystal.

Cell lengths 7.5303, 7.5303, 7.5303 Å; angles 90.00, 90.00, 90.00 degrees
Space group F-43m (No. 216)
Inequivalent atoms, fractional coordinates:
Np: 0.0000 0.0000 0.0000 (multiplicity 4)
Sb: 0.2500 0.2500 0.7500 (multiplicity 4)
Ir: 0.1248 0.1248 0.3752 (multiplicity 16)

Calculated values
- calculated density (g cm⁻³) = 17.54
- spin magnetization (μB/atom) = 0.44
- energy relative to the elements, uncorrected (eV/atom) = -0.151
- energy (eV/cell) = -213.66

=====

# 2
VASP calculation (PBE-GGA) on a relaxed TeAuSCl2 crystal.

Cell lengths 5.1866, 5.1866, 5.2372 Å; angles 90.00, 90.00, 90.00 degrees
Space group P4/mmm (No. 123)
Inequivalent atoms, fractional coordinates:
Te: 0.0000 0.0000 0.0000 (multiplicity 1)
Au: 0.5000 0.5000 0.5000 (multiplicity 1)
S: 0.0000 0.0000 0.5000 (multiplicity 1)
Cl: 0.0000 0.5000 0.0000 (multiplicity 2)

Calculated values
- excess energy over the best structure of this formula in the dataset (meV/atom) = 18
- calculated density (g cm⁻³) = 5.04
- spin magnetization (μB/atom) = 0.00
- energy relative to the elements, uncorrected (eV/atom) = 0.372
- energy (eV/cell) = -12.38

=====

# 3
VASP calculation (PBE-GGA) on a relaxed DyGa4Ag4 crystal.

Cell lengths 6.2059, 6.2059, 9.1542 Å; angles 90.00, 90.00, 90.00 degrees
Space group P4_2/nmc (No. 137, origin choice 2)
Inequivalent atoms, fractional coordinates:
Dy: 0.2500 0.7500 0.2500 (multiplicity 2)
Ga: 0.0257 0.2500 0.0383 (multiplicity 8)
Ag: 0.0291 0.2500 0.3296 (multiplicity 8)

Calculated values
- calculated density (g cm⁻³) = 8.22
- spin magnetization (μB/atom) = 0.00
- energy of formation (kJ per mole of atoms) = -11.7
- energy (eV/cell) = -58.42

=====

# 4
VASP calculation (PBE-GGA) on a relaxed CeSc2Ta3N6 crystal.

Cell lengths 5.5510, 9.6351, 5.5797 Å; angles 90.00, 109.43, 90.00 degrees
Space group C2/m (No. 12)
Inequivalent atoms, fractional coordinates:
Ce: 0.0000 0.0000 0.0000 (multiplicity 2)
Sc: 0.0000 0.3333 0.0000 (multiplicity 4)
Ta: 0.0000 0.1726 0.5000 (multiplicity 4)
Ta: 0.0000 0.5000 0.5000 (multiplicity 2)
N: 0.2381 0.3262 0.7345 (multiplicity 8)
N: 0.2422 0.5000 0.2683 (multiplicity 4)

Calculated values
- calculated density (g cm⁻³) = 10.11
- spin magnetization (μB/atom) = 0.00
- energy relative to the elements, uncorrected (eV/atom) = -1.438
- energy (eV/cell) = -242.71